## AlCu2Ni (PBE)

Data for a relaxed structure of AlCu2Ni.

a = 4.381 Å, b = 4.381 Å, c = 4.381 Å
α = 129.97°, β = 129.97°, γ = 73.46°
Element x y z (fractional)
1 Al 0.000 0.000 0.000
2 Cu 0.250 0.750 0.500
3 Cu 0.500 0.500 0.000
4 Ni 0.750 0.250 0.500

Computed properties:
SG	No. 119
energy relative to the elements	-1.12	eV per formula unit



## Tl2As2Rh (PBE)

Data for a relaxed structure of Tl2As2Rh.

a = 6.320 Å, b = 6.320 Å, c = 5.859 Å
α = 90.00°, β = 90.00°, γ = 90.00°
Element x y z (fractional)
1 Tl 0.190 0.310 0.000
2 Tl 0.310 0.810 0.000
3 Tl 0.690 0.190 0.000
4 Tl 0.810 0.690 0.000
5 As 0.138 0.638 0.500
6 As 0.362 0.138 0.500
7 As 0.638 0.862 0.500
8 As 0.862 0.362 0.500
9 Rh 0.000 0.000 0.500
10 Rh 0.500 0.500 0.500

Computed properties:
SG	No. 127
energy relative to the elements	-0.65	eV per formula unit
ΔE to the lowest computed polymorph	0.000	eV/atom



## LiCeGa6 (PBE)

Data for a relaxed structure of LiCeGa6.

a = 4.425 Å, b = 6.571 Å, c = 5.178 Å
α = 90.00°, β = 90.00°, γ = 90.00°
Element x y z (fractional)
1 Li 0.000 0.000 0.000
2 Ce 0.500 0.500 0.692
3 Ga 0.000 0.205 0.513
4 Ga 0.000 0.500 0.126
5 Ga 0.000 0.795 0.513
6 Ga 0.500 0.000 0.705
7 Ga 0.500 0.219 0.182
8 Ga 0.500 0.781 0.182

Computed properties:
SG	No. 25
energy relative to the elements	-2.45	eV per formula unit



## Ac2Tc12P7 (PBE)

Data for a relaxed structure of Ac2Tc12P7.

a = 9.745 Å, b = 9.745 Å, c = 3.994 Å
α = 90.00°, β = 90.00°, γ = 120.00°
Element x y z (fractional)
1 Ac 0.000 0.000 0.000
2 Ac 0.333 0.667 0.500
3 Tc 0.055 0.291 0.500
4 Tc 0.097 0.729 0.000
5 Tc 0.235 0.945 0.500
6 Tc 0.271 0.368 0.000
7 Tc 0.454 0.216 0.000
8 Tc 0.517 0.451 0.500
9 Tc 0.549 0.066 0.500
10 Tc 0.632 0.903 0.000
11 Tc 0.709 0.765 0.500
12 Tc 0.762 0.546 0.000
13 Tc 0.784 0.238 0.000
14 Tc 0.934 0.483 0.500
15 P 0.057 0.447 0.000
16 P 0.271 0.214 0.500
17 P 0.390 0.943 0.000
18 P 0.553 0.610 0.000
19 P 0.667 0.333 0.500
20 P 0.786 0.057 0.500
21 P 0.943 0.729 0.500

Computed properties:
SG	No. 174
energy relative to the elements	-10.62	eV per formula unit



## KH3I (PBE)

Data for a relaxed structure of KH3I.

a = 4.566 Å, b = 4.566 Å, c = 4.566 Å
α = 90.00°, β = 90.00°, γ = 90.00°
Element x y z (fractional)
1 K 0.000 0.000 0.000
2 H 0.000 0.500 0.500
3 H 0.500 0.000 0.500
4 H 0.500 0.500 0.000
5 I 0.500 0.500 0.500

Computed properties:
SG	No. 221
ΔE to the lowest computed polymorph	1.042	eV/atom



## Li4CuP2O8 (PBE)

Data for a relaxed structure of Li4CuP2O8.

a = 8.274 Å, b = 10.363 Å, c = 8.167 Å
α = 90.00°, β = 106.45°, γ = 90.00°
Element x y z (fractional)
1 Li 0.018 0.075 0.269
2 Li 0.018 0.425 0.769
3 Li 0.096 0.163 0.596
4 Li 0.096 0.337 0.096
5 Li 0.169 0.664 0.672
6 Li 0.169 0.836 0.172
7 Li 0.354 0.148 0.352
8 Li 0.354 0.352 0.852
9 Li 0.646 0.648 0.148
10 Li 0.646 0.852 0.648
11 Li 0.831 0.164 0.828
12 Li 0.831 0.336 0.328
13 Li 0.904 0.663 0.904
14 Li 0.904 0.837 0.404
15 Li 0.982 0.575 0.231
16 Li 0.982 0.925 0.731
17 Cu 0.415 0.642 0.430
18 Cu 0.415 0.858 0.930
19 Cu 0.585 0.142 0.070
20 Cu 0.585 0.358 0.570
21 P 0.201 0.094 0.973
22 P 0.201 0.406 0.473
23 P 0.274 0.591 0.047
24 P 0.274 0.909 0.547
25 P 0.726 0.091 0.453
26 P 0.726 0.409 0.953
27 P 0.799 0.594 0.527
28 P 0.799 0.906 0.027
29 O 0.052 0.105 0.808
30 O 0.052 0.395 0.308
31 O 0.124 0.654 0.098
32 O 0.124 0.846 0.598
33 O 0.157 0.151 0.130
34 O 0.157 0.349 0.630
35 O 0.225 0.047 0.480
36 O 0.225 0.453 0.980
37 O 0.243 0.553 0.505
38 O 0.243 0.947 0.005
39 O 0.320 0.672 0.906
40 O 0.320 0.828 0.406
41 O 0.352 0.171 0.941
42 O 0.352 0.329 0.441
43 O 0.436 0.591 0.204
44 O 0.436 0.909 0.704
45 O 0.564 0.091 0.296
46 O 0.564 0.409 0.796
47 O 0.648 0.671 0.559
48 O 0.648 0.829 0.059
49 O 0.680 0.172 0.594
50 O 0.680 0.328 0.094
51 O 0.757 0.053 0.995
52 O 0.757 0.447 0.495
53 O 0.775 0.547 0.020
54 O 0.775 0.953 0.520
55 O 0.843 0.651 0.370
56 O 0.843 0.849 0.870
57 O 0.876 0.154 0.402
58 O 0.876 0.346 0.902
59 O 0.948 0.605 0.692
60 O 0.948 0.895 0.192

Computed properties:
SG	No. 14
ΔE to the lowest computed polymorph	0.000	eV/atom
E_form (uncorrected)	-2.1089	eV per atom